[1]
{"formula": "CaAc2Au6", "functional": "GGA-PBE", "state": "optimized geometry", "lattice": [[-2.862, 0.587, 2.450], [-4.679, -5.564, -4.132], [4.885, -2.508, 6.306]], "species": ["Ca", "Ac", "Ac", "Au", "Au", "Au", "Au", "Au", "Au"], "frac_coords": [[0.000, 0.000, 0.000], [0.000, 0.333, 0.667], [0.000, 0.667, 0.333], [0.500, 0.331, 0.331], [0.500, 0.669, 0.669], [0.500, 0.000, 0.669], [0.500, 0.669, 0.000], [0.500, 0.331, 0.000], [0.500, 0.000, 0.331]], "energy_ev_per_atom": -4.10, "ef_kj_per_mol_atoms": -75.1}


[2]
{"formula": "CaBr", "functional": "GGA-PBE", "state": "optimized geometry", "lattice": [[-10.196, -6.613, -1.657], [3.292, -7.388, 9.221], [-1.985, 2.401, 2.633]], "species": ["Ca", "Ca", "Ca", "Ca", "Ca", "Ca", "Ca", "Ca", "Br", "Br", "Br", "Br", "Br", "Br", "Br", "Br"], "frac_coords": [[0.820, 0.667, 0.500], [0.180, 0.333, 0.500], [0.333, 0.820, 0.500], [0.667, 0.180, 0.500], [0.899, 0.402, 0.000], [0.101, 0.598, 0.000], [0.598, 0.899, 0.000], [0.402, 0.101, 0.000], [0.723, 0.427, 0.500], [0.277, 0.573, 0.500], [0.573, 0.723, 0.500], [0.427, 0.277, 0.500], [0.825, 0.840, 0.000], [0.175, 0.160, 0.000], [0.160, 0.825, 0.000], [0.840, 0.175, 0.000]], "raw_formation_energy_ev_per_atom": -1.3779, "energy_ev_per_atom": -3.22}


[3]
{"formula": "HoPa2ZnN5", "functional": "GGA-PBE", "state": "optimized geometry", "lattice": [[-1.406, 2.061, -2.431], [-3.374, -6.047, -0.679], [-7.451, 3.354, 7.152]], "species": ["Ho", "Ho", "Pa", "Pa", "Pa", "Pa", "Zn", "Zn", "N", "N", "N", "N", "N", "N", "N", "N", "N", "N"], "frac_coords": [[0.805, 0.609, 0.483], [0.195, 0.391, 0.983], [0.879, 0.759, 0.759], [0.137, 0.274, 0.683], [0.121, 0.241, 0.259], [0.863, 0.726, 0.183], [0.495, 0.991, 0.990], [0.505, 0.009, 0.490], [0.352, 0.704, 0.057], [0.704, 0.408, 0.826], [0.478, 0.957, 0.802], [0.300, 0.600, 0.650], [0.962, 0.923, 0.574], [0.648, 0.296, 0.557], [0.296, 0.592, 0.326], [0.522, 0.043, 0.302], [0.700, 0.400, 0.150], [0.038, 0.077, 0.074]], "raw_formation_energy_ev_per_atom": -1.2125, "energy_ev_per_atom": -8.60}


[4]
{"formula": "Zn2InAu", "functional": "GGA-PBE", "state": "optimized geometry", "lattice": [[-1.629, 3.660, 1.182], [1.117, -0.778, 3.949], [7.897, 5.554, 1.071]], "species": ["Zn", "Zn", "Zn", "Zn", "Au", "Au", "In", "In"], "frac_coords": [[0.660, 0.125, 0.250], [0.090, 0.625, 0.250], [0.375, 0.340, 0.750], [0.875, 0.910, 0.750], [0.000, 0.000, 0.000], [0.750, 0.250, 0.500], [0.500, 0.500, 0.000], [0.250, 0.750, 0.500]], "energy_ev_per_atom": -2.16, "ef_kj_per_mol_atoms": -1.7}


[5]
{"formula": "Sc2Co", "functional": "GGA-PBE", "state": "optimized geometry", "lattice": [[0.000, 3.872, 3.872], [3.872, 0.000, 3.872], [3.872, 3.872, 0.000]], "species": ["Sc", "Sc", "Sc", "Sc", "Co", "Co"], "frac_coords": [[0.125, 0.625, 0.125], [0.125, 0.125, 0.625], [0.625, 0.125, 0.125], [0.125, 0.125, 0.125], [0.750, 0.750, 0.750], [0.500, 0.500, 0.500]], "energy_ev_per_atom": -5.84, "ef_kj_per_mol_atoms": 72.6}


[6]
{"formula": "NaPu2Os", "functional": "GGA-PBE", "state": "optimized geometry", "lattice": [[3.262, 0.000, 0.000], [1.631, 2.825, 0.000], [1.631, 0.942, 11.243]], "species": ["Na", "Os", "Pu", "Pu"], "frac_coords": [[0.000, 0.000, 0.000], [0.500, 0.500, 0.500], [0.103, 0.103, 0.690], [0.897, 0.897, 0.310]], "energy_ev_per_atom": -9.93, "ef_kj_per_mol_atoms": 36.3}


[7]
{"formula": "KBi2Au9", "functional": "GGA-PBE", "state": "optimized geometry", "lattice": [[-2.739, 5.031, -0.230], [-5.402, 0.411, 1.876], [0.402, 3.898, 9.062]], "species": ["K", "Bi", "Bi", "Au", "Au", "Au", "Au", "Au", "Au", "Au", "Au", "Au"], "frac_coords": [[0.000, 0.000, 0.000], [0.851, 0.851, 0.446], [0.149, 0.149, 0.554], [0.667, 0.667, 0.000], [0.333, 0.333, 0.000], [0.500, 0.500, 0.500], [0.415, 0.415, 0.251], [0.919, 0.415, 0.251], [0.415, 0.919, 0.251], [0.585, 0.585, 0.749], [0.585, 0.081, 0.749], [0.081, 0.585, 0.749]], "energy_ev_per_atom": -3.31, "ef_kj_per_mol_atoms": -10.8}


[8]
{"formula": "Ca2RuPb", "functional": "GGA-PBE", "state": "optimized geometry", "lattice": [[10.012, 0.045, 0.026], [9.393, 3.466, 0.026], [9.393, 1.700, 3.021]], "species": ["Pb", "Ru", "Ca", "Ca"], "frac_coords": [[0.250, 0.250, 0.250], [0.750, 0.750, 0.750], [0.014, 0.014, 0.014], [0.486, 0.486, 0.486]], "energy_ev_per_atom": -4.13, "ef_kj_per_mol_atoms": 10.9}


[9]
{"formula": "KIF2", "functional": "GGA-PBE", "state": "optimized geometry", "lattice": [[6.999, 0.000, 0.000], [0.000, 6.999, 0.000], [3.499, 3.499, 3.662]], "species": ["I", "I", "K", "K", "F", "F", "F", "F"], "frac_coords": [[0.000, 0.000, 0.000], [0.750, 0.250, 0.500], [0.500, 0.500, 0.000], [0.250, 0.750, 0.500], [0.632, 0.125, 0.250], [0.118, 0.625, 0.250], [0.375, 0.368, 0.750], [0.875, 0.882, 0.750]], "raw_formation_energy_ev_per_atom": -1.3528, "energy_ev_per_atom": -2.95}


[10]
{"formula": "Li2RePb", "functional": "GGA-PBE", "state": "optimized geometry", "lattice": [[-1.882, 1.865, -0.969], [-1.539, -1.447, 1.869], [2.485, 5.973, 6.670]], "species": ["Li", "Li", "Pb", "Re"], "frac_coords": [[0.000, 0.000, 0.975], [0.000, 0.000, 0.525], [0.500, 0.500, 0.250], [0.500, 0.500, 0.750]], "energy_ev_per_atom": -4.58, "ef_kj_per_mol_atoms": 40.0}


[11]
{"formula": "Sr2ScSnO", "functional": "GGA-PBE", "state": "optimized geometry", "lattice": [[5.253, 0.000, 0.000], [0.000, 5.253, 0.000], [0.000, 0.000, 4.458]], "species": ["Sc", "Sr", "Sr", "Sn", "O"], "frac_coords": [[0.000, 0.000, 0.500], [0.000, 0.500, 0.000], [0.500, 0.000, 0.000], [0.500, 0.500, 0.500], [0.000, 0.000, 0.000]], "raw_formation_energy_ev_per_atom": -1.3456, "energy_ev_per_atom": -5.08}


[12]
{"formula": "CaZn2PCl", "functional": "GGA-PBE", "state": "optimized geometry", "lattice": [[4.459, 0.000, 0.000], [0.000, 6.996, 0.000], [0.000, 0.000, 4.459]], "species": ["P", "Zn", "Zn", "Ca", "Cl"], "frac_coords": [[0.000, 0.000, 0.000], [0.000, 0.000, 0.500], [0.500, 0.000, 0.000], [0.500, 0.500, 0.500], [0.000, 0.500, 0.000]], "raw_formation_energy_ev_per_atom": -0.2287, "energy_ev_per_atom": -2.59}


[13]
{"formula": "K3NbCd2O6", "functional": "GGA-PBE", "state": "optimized geometry", "lattice": [[5.876, -0.002, 0.003], [-2.939, 5.088, 0.003], [-0.977, -1.691, 6.141]], "species": ["K", "K", "K", "Nb", "Cd", "Cd", "O", "O", "O", "O", "O", "O"], "frac_coords": [[0.173, 0.827, 0.500], [0.827, 0.173, 0.500], [0.500, 0.500, 0.500], [0.000, 0.000, 0.000], [0.334, 0.666, 0.000], [0.666, 0.334, 0.000], [0.936, 0.646, 0.812], [0.775, 0.775, 0.191], [0.064, 0.354, 0.188], [0.646, 0.936, 0.812], [0.225, 0.225, 0.809], [0.354, 0.064, 0.188]], "raw_formation_energy_ev_per_atom": -1.6839, "energy_ev_per_atom": -5.43}


[14]
{"formula": "Na3Tl4Sn2", "functional": "GGA-PBE", "state": "optimized geometry", "lattice": [[-3.817, -1.334, -3.739], [4.350, -3.823, 0.978], [-6.469, -1.407, 7.105]], "species": ["Na", "Na", "Na", "Tl", "Tl", "Tl", "Tl", "Sn", "Sn"], "frac_coords": [[0.649, 0.299, 0.710], [0.000, 0.000, 0.000], [0.351, 0.701, 0.290], [0.687, 0.374, 0.065], [0.313, 0.626, 0.935], [0.975, 0.950, 0.664], [0.025, 0.050, 0.336], [0.698, 0.396, 0.389], [0.302, 0.604, 0.611]], "energy_ev_per_atom": -2.46, "ef_kj_per_mol_atoms": -7.5}


[15]
{"formula": "Y2FeNi", "functional": "GGA-PBE", "state": "optimized geometry", "lattice": [[-1.387, 2.476, 1.810], [0.075, -1.961, 2.740], [6.176, 0.360, 4.238]], "species": ["Fe", "Ni", "Y", "Y"], "frac_coords": [[0.500, 0.250, 0.250], [0.500, 0.750, 0.750], [0.000, 0.995, 0.006], [0.000, 0.505, 0.494]], "energy_ev_per_atom": -6.87, "ef_kj_per_mol_atoms": -7.4}


[16]
{"formula": "MgCd2Sn2", "functional": "GGA-PBE", "state": "optimized geometry", "lattice": [[7.737, 0.000, 0.000], [0.000, 7.737, 0.000], [0.000, 0.000, 4.273]], "species": ["Mg", "Mg", "Sn", "Sn", "Sn", "Sn", "Cd", "Cd", "Cd", "Cd"], "frac_coords": [[0.000, 0.000, 0.000], [0.500, 0.500, 0.000], [0.174, 0.674, 0.500], [0.674, 0.826, 0.500], [0.826, 0.326, 0.500], [0.326, 0.174, 0.500], [0.368, 0.868, 0.000], [0.868, 0.632, 0.000], [0.632, 0.132, 0.000], [0.132, 0.368, 0.000]], "energy_ev_per_atom": -2.22, "ef_kj_per_mol_atoms": 6.4}


[17]
{"formula": "Mn5Au4", "functional": "GGA-PBE", "state": "optimized geometry", "lattice": [[-7.352, 2.929, 0.218], [-4.440, -0.927, 6.488], [1.955, 4.756, 2.017]], "species": ["Mn", "Mn", "Mn", "Mn", "Mn", "Mn", "Mn", "Mn", "Mn", "Mn", "Au", "Au", "Au", "Au", "Au", "Au", "Au", "Au"], "frac_coords": [[0.313, 0.687, 0.250], [0.000, 0.313, 0.250], [0.687, 0.000, 0.250], [0.687, 0.313, 0.750], [0.000, 0.687, 0.750], [0.313, 0.000, 0.750], [0.333, 0.333, 0.000], [0.667, 0.667, 0.500], [0.667, 0.667, 0.000], [0.333, 0.333, 0.500], [0.000, 0.000, 0.000], [0.000, 0.000, 0.500], [0.639, 0.361, 0.250], [0.000, 0.639, 0.250], [0.361, 0.000, 0.250], [0.361, 0.639, 0.750], [0.000, 0.361, 0.750], [0.639, 0.000, 0.750]], "energy_ev_per_atom": -6.45, "ef_kj_per_mol_atoms": 10.0}


[18]
{"formula": "DyBe3Rh3", "functional": "GGA-PBE", "state": "optimized geometry", "lattice": [[5.991, 0.000, 0.000], [0.000, 5.991, 0.000], [0.000, 0.000, 5.991]], "species": ["Be", "Be", "Be", "Be", "Be", "Be", "Rh", "Rh", "Rh", "Rh", "Rh", "Rh", "Dy", "Dy"], "frac_coords": [[0.250, 0.000, 0.500], [0.000, 0.500, 0.250], [0.500, 0.750, 0.000], [0.750, 0.000, 0.500], [0.000, 0.500, 0.750], [0.500, 0.250, 0.000], [0.000, 0.250, 0.500], [0.000, 0.750, 0.500], [0.500, 0.000, 0.750], [0.750, 0.500, 0.000], [0.500, 0.000, 0.250], [0.250, 0.500, 0.000], [0.500, 0.500, 0.500], [0.000, 0.000, 0.000]], "energy_ev_per_atom": -5.66, "ef_kj_per_mol_atoms": -24.4}


[19]
{"formula": "Zr3InSe", "functional": "GGA-PBE", "state": "optimized geometry", "lattice": [[4.997, 0.000, 0.000], [0.000, 4.997, 0.000], [0.000, 0.000, 4.997]], "species": ["Se", "Zr", "Zr", "Zr", "In"], "frac_coords": [[0.000, 0.000, 0.000], [0.000, 0.500, 0.000], [0.000, 0.000, 0.500], [0.500, 0.000, 0.000], [0.500, 0.500, 0.500]], "raw_formation_energy_ev_per_atom": -0.1448, "energy_ev_per_atom": -6.52}


[20]
{"formula": "NaGa4Cu", "functional": "GGA-PBE", "state": "optimized geometry", "lattice": [[-0.985, 4.006, -4.010], [-2.887, -4.988, -4.180], [-3.639, 0.945, 5.879]], "species": ["Na", "Na", "Ga", "Ga", "Ga", "Ga", "Ga", "Ga", "Ga", "Ga", "Cu", "Cu"], "frac_coords": [[0.027, 0.751, 0.002], [0.973, 0.249, 0.998], [0.383, 0.048, 0.825], [0.564, 0.446, 0.172], [0.617, 0.952, 0.175], [0.436, 0.554, 0.828], [0.897, 0.846, 0.548], [0.353, 0.651, 0.450], [0.103, 0.154, 0.452], [0.647, 0.349, 0.550], [0.500, 0.000, 0.500], [0.000, 0.500, 0.500]], "energy_ev_per_atom": -2.96, "ef_kj_per_mol_atoms": -3.8}


[21]
{"formula": "Er2ZrTl", "functional": "GGA-PBE", "state": "optimized geometry", "lattice": [[3.451, 0.000, 0.000], [0.000, 3.451, 0.000], [0.000, 0.000, 9.011]], "species": ["Tl", "Zr", "Er", "Er"], "frac_coords": [[0.500, 0.500, 0.000], [0.500, 0.500, 0.500], [0.000, 0.000, 0.751], [0.000, 0.000, 0.249]], "energy_ev_per_atom": -5.15, "ef_kj_per_mol_atoms": -13.3}


[22]
{"formula": "HfBeRhI2", "functional": "GGA-PBE", "state": "optimized geometry", "lattice": [[5.378, 0.000, 0.000], [0.000, 4.079, 0.000], [0.000, 0.000, 5.378]], "species": ["I", "I", "Rh", "Hf", "Be"], "frac_coords": [[0.000, 0.000, 0.500], [0.500, 0.000, 0.000], [0.000, 0.000, 0.000], [0.500, 0.500, 0.500], [0.000, 0.500, 0.000]], "raw_formation_energy_ev_per_atom": 0.6922, "energy_ev_per_atom": -4.13}


[23]
{"formula": "Li2AgBi", "functional": "GGA-PBE", "state": "optimized geometry", "lattice": [[7.688, 0.000, 0.000], [0.000, 7.688, 0.000], [3.844, 3.844, 2.929]], "species": ["Bi", "Bi", "Ag", "Ag", "Li", "Li", "Li", "Li"], "frac_coords": [[0.000, 0.000, 0.000], [0.750, 0.250, 0.500], [0.500, 0.500, 0.000], [0.250, 0.750, 0.500], [0.602, 0.125, 0.250], [0.148, 0.625, 0.250], [0.375, 0.398, 0.750], [0.875, 0.852, 0.750]], "energy_ev_per_atom": -2.76, "ef_kj_per_mol_atoms": -12.0}


[24]
{"formula": "Rb2PuO5", "functional": "GGA-PBE", "state": "optimized geometry", "lattice": [[-1.515, -0.937, 3.900], [-1.194, -6.055, -1.918], [5.927, -1.764, 1.879]], "species": ["Rb", "Rb", "Pu", "O", "O", "O", "O", "O"], "frac_coords": [[0.500, 0.500, 0.000], [0.500, 0.000, 0.500], [0.000, 0.000, 0.000], [0.000, 0.792, 0.792], [0.000, 0.208, 0.792], [0.000, 0.792, 0.208], [0.500, 0.000, 0.000], [0.000, 0.208, 0.208]], "raw_formation_energy_ev_per_atom": -2.0271, "energy_ev_per_atom": -7.16}